Density functional theory data (PBE-GGA) for crystalline ErTm at its relaxed geometry.

a b c (Å): 5.1481 5.1481 5.1481
angles (deg): 60.00 60.00 60.00
Element x y z (fractional)
1 Er 0.0000 0.0000 0.0000
2 Tm 0.2500 0.2500 0.2500

Results
As for the theoretical density: 5.786 g/cm³. The excess energy over the best structure of this formula in the dataset comes out at 2001 meV per atom.

Density functional theory data (PBE-GGA) for crystalline Er2Tm at its relaxed geometry.

a b c (Å): 10.0236 10.0236 10.0236
angles (deg): 60.00 60.00 60.00
Element x y z (fractional)
1 Er 0.3750 0.3750 0.3750
2 Er 0.8750 0.3750 0.3750
3 Er 0.3750 0.8750 0.3750
4 Er 0.3750 0.3750 0.8750
5 Tm 0.2500 0.2500 0.2500
6 Tm 0.5000 0.5000 0.5000

Results
As for the theoretical density: 2.348 g/cm³. The excess energy over the best structure of this formula in the dataset comes out at 2540 meV per atom.

Density functional theory data (PBE-GGA) for crystalline Er3Tm at its relaxed geometry.

a b c (Å): 5.5300 7.1203 7.1203
angles (deg): 60.00 90.00 90.00
Element x y z (fractional)
1 Er 0.5000 0.1667 0.1667
2 Er 0.5000 0.6666 0.1668
3 Er 0.0000 0.3335 0.3335
4 Er 0.5000 0.6666 0.6666
5 Er 0.5000 0.1668 0.6666
6 Er 0.0000 0.8334 0.8334
7 Tm 0.0000 0.8331 0.3333
8 Tm 0.0000 0.3333 0.8331

Results
The calculation puts the uncorrected energy at -4.54 eV per atom. As for the theoretical density: 9.174 g/cm³.

Q: Which value of theoretical density does entry 3 give?
A: 9.174 g/cm³

Q: What is the formula in the first record?
A: ErTm

Q: theoretical density of number 2 (Er2Tm)?
A: 2.348 g/cm³

Q: The lowest theoretical density belongs to which entry?
A: Er2Tm